No. 1
This record from Alexandria via LeMat-Bulk describes a geometry-optimized HgGe2TeN structure. The functional is PBE.

Results
Formation energy without anion corrections, eV/atom: 1.9660
Total DFT energy (no corrections), eV/atom: -2.2347
SG: P4/mmm

extended XYZ file:
```
5
Lattice="5.158 0.000 0.000 0.000 5.158 0.000 0.000 0.000 5.605" Properties=species:S:1:pos:R:3 pbc="T T T"
Hg 0.000 0.000 0.000
Ge 0.000 2.579 0.000
Ge 2.579 0.000 0.000
Te 0.000 0.000 2.803
N 2.579 2.579 2.803
```

---

No. 2
This record from Alexandria via LeMat-Bulk describes a geometry-optimized KHg2GeTe structure. The functional is PBE.

Results
Formation energy without anion corrections, eV/atom: -0.2023
Total DFT energy (no corrections), eV/atom: -2.0943
SG: P4/mmm

extended XYZ file:
```
5
Lattice="5.357 0.000 0.000 0.000 5.357 0.000 0.000 0.000 5.953" Properties=species:S:1:pos:R:3 pbc="T T T"
K 0.000 0.000 0.000
Hg 0.000 2.679 2.977
Hg 2.679 0.000 2.977
Ge 2.679 2.679 2.977
Te 2.679 2.679 0.000
```